Below is a relaxed TiV2RuO crystal, with properties calculated at the GGA+U level.

Lattice parameters (Å, degrees): 4.7983 4.7983 4.5760 90.00 90.00 90.00
Atoms (fractional coordinates):
Ti  0.0000  0.0000  0.0000
V  0.0000  0.5000  0.5000
V  0.5000  0.0000  0.5000
Ru  0.0000  0.0000  0.5000
O  0.5000  0.5000  0.0000

Values from the calculation:
The density comes out at 4.205 g cm⁻³. As for the space group: P4/mmm, No. 123. For the total energy, the calculation gives -6.04 eV/atom. The calculation puts the density of states at the Fermi level at 5.33 states/eV/cell.